# 1
{
  "formula": "Rb12LiCl4O4",
  "functional": "GGA-PBE",
  "state": "optimized geometry",
  "formation_energy_uncorrected_ev_per_atom": -1.250,
  "lattice_angstrom": [[7.884, 0.000, 0.000], [0.071, 7.942, 0.000], [1.403, 0.017, 11.356]],
  "species": ["Rb", "Rb", "Rb", "Rb", "Rb", "Rb", "Rb", "Rb", "Rb", "Rb", "Rb", "Rb", "Li", "Cl", "Cl", "Cl", "Cl", "O", "O", "O", "O"],
  "frac_coords": [[0.000, 0.000, 0.000], [0.002, 0.480, 0.536], [0.059, 0.970, 0.566], [0.226, 0.626, 0.826], [0.402, 0.380, 0.105], [0.434, 0.749, 0.370], [0.485, 0.383, 0.574], [0.499, 0.926, 0.034], [0.568, 0.918, 0.652], [0.738, 0.288, 0.822], [0.783, 0.150, 0.317], [0.901, 0.501, 0.088], [0.126, 0.782, 0.203], [0.202, 0.060, 0.260], [0.311, 0.198, 0.833], [0.799, 0.711, 0.837], [0.863, 0.728, 0.334], [0.219, 0.685, 0.070], [0.313, 0.698, 0.587], [0.729, 0.204, 0.065], [0.785, 0.203, 0.578]]
}

=====

# 2
{
  "formula": "YHo2Au",
  "functional": "GGA-PBE",
  "state": "optimized geometry",
  "e_form_ev_per_atom": -0.4568,
  "lattice_angstrom": [[6.963, 0.000, 0.000], [0.000, 9.726, 0.000], [0.000, 0.000, 6.650]],
  "species": ["Y", "Y", "Y", "Y", "Ho", "Ho", "Ho", "Ho", "Ho", "Ho", "Ho", "Ho", "Au", "Au", "Au", "Au"],
  "frac_coords": [[0.012, 0.250, 0.117], [0.488, 0.750, 0.617], [0.512, 0.250, 0.383], [0.988, 0.750, 0.883], [0.196, 0.055, 0.694], [0.196, 0.445, 0.694], [0.304, 0.555, 0.194], [0.304, 0.945, 0.194], [0.696, 0.055, 0.806], [0.696, 0.445, 0.806], [0.804, 0.555, 0.306], [0.804, 0.945, 0.306], [0.088, 0.750, 0.456], [0.412, 0.250, 0.956], [0.588, 0.750, 0.044], [0.912, 0.250, 0.544]]
}

=====

no.,M_tot (μB/cell),E above lowest polymorph (meV per atom)
1,0.0,12
2,0.0,0